(1)
A plane-wave DFT calculation with PBE-GGA was carried out for a relaxed Tb2CeErTm4 crystal.

```
Tb2CeErTm4
1.0
-4.672 1.571 -0.678
-1.089 -4.249 -2.344
-3.710 -8.329 6.271
Tb Ce Er Tm
2 1 1 4
Direct
0.000 0.000 0.000
0.500 0.000 0.500
0.000 0.500 0.500
0.500 0.500 0.000
0.000 0.750 0.749
0.000 0.250 0.251
0.500 0.750 0.251
0.500 0.250 0.749
```

Properties
The electronic total energy comes out at -4.660 eV per atom. Its calculated volume is 30.6 Å³/atom. The total moment is 0.84 μB/f.u. The space group is P4/mmm (123).

(2)
A plane-wave DFT calculation with PBE-GGA was carried out for a relaxed RbLi2CdPd crystal.

```
RbLi2CdPd
1.0
5.088 0.000 0.000
0.000 5.088 0.000
0.000 0.000 5.389
Li Rb Pd Cd
2 1 1 1
Direct
0.000 0.500 0.000
0.500 0.000 0.000
0.500 0.500 0.500
0.000 0.000 0.000
0.000 0.000 0.500
```

Properties
The electronic total energy comes out at -2.297 eV per atom. Its calculated volume is 27.9 Å³/atom. The total moment is 0.00 μB/f.u. The space group is P4/mmm (123).

(3)
A plane-wave DFT calculation with PBE-GGA was carried out for a relaxed Ba2LaRu crystal.

```
Ba2LaRu
1.0
5.620 -0.067 0.000
0.012 5.621 0.000
-2.816 -2.777 3.994
Ba La Ru
2 1 1
Direct
0.000 0.000 0.000
0.250 0.750 0.500
0.500 0.500 0.000
0.750 0.250 0.500
```

Properties
The energy above the most stable polymorph in this dataset is 453 meV per atom. Its calculated volume is 31.5 Å³/atom. The total moment is 0.00 μB/f.u. The space group is I-4m2 (119).